(1)
5
Lattice="-6.318 -1.631 -0.413 1.076 -5.187 4.031 -1.309 3.759 5.187" Properties=species:S:1:pos:R:3 comment="CsLiMgAu2 PBE-GGA relaxed" ef_mev_per_atom=760 pbc="T T T"
Au -3.159 -0.816 -0.206
Au -0.655 1.880 2.594
Mg 0.538 -2.594 2.015
Cs 0.000 0.000 0.000
Li -3.276 -1.530 4.403



(2)
4
Lattice="3.502 0.000 0.000 1.751 3.033 0.000 1.751 1.011 9.574" Properties=species:S:1:pos:R:3 comment="DyEr2C PBE-GGA relaxed" ef_mev_per_atom=-97 pbc="T T T"
Er 5.252 3.033 3.460
Er 1.751 1.011 6.113
Dy 0.000 0.000 0.000
C 3.502 2.022 4.787



(3)
4
Lattice="3.834 -1.328 -0.823 2.285 -1.716 2.996 0.812 -4.059 -0.083" Properties=species:S:1:pos:R:3 comment="LiV2Cr PBE-GGA relaxed" relative_energy_ev_per_atom=0.000 ef_mev_per_atom=314 pbc="T T T"
V 5.198 -5.327 1.567
V 1.733 -1.776 0.522
Cr 3.465 -3.551 1.045
Li 0.000 0.000 0.000



(4)
5
Lattice="-2.205 -2.229 2.438 3.010 -2.564 0.378 1.362 2.058 3.112" Properties=species:S:1:pos:R:3 comment="Al3PtN PBE-GGA relaxed" e_form_raw_ev_per_atom=-0.54 relative_energy_ev_per_atom=0.000 pbc="T T T"
Al 1.505 -1.282 0.189
Al -1.102 -1.114 1.219
Al 0.681 1.029 1.556
N 0.000 0.000 0.000
Pt 1.083 -1.368 2.964



(5)
4
Lattice="5.390 0.000 0.000 2.695 4.668 0.000 2.695 1.556 4.401" Properties=species:S:1:pos:R:3 comment="CaGdCdIn PBE-GGA relaxed" ef_mev_per_atom=-434 pbc="T T T"
Cd 2.695 1.556 1.100
In 8.085 4.668 3.301
Gd 5.390 3.112 2.200
Ca 0.000 0.000 0.000



(6)
4
Lattice="-2.103 2.103 6.318 2.103 -2.103 6.318 2.103 2.103 -6.318" Properties=species:S:1:pos:R:3 comment="La2PSe PBE-GGA relaxed" e_form_raw_ev_per_atom=-1.30 relative_energy_ev_per_atom=0.568 pbc="T T T"
P 0.000 0.000 6.318
La 2.103 0.000 3.159
La 0.000 0.000 0.000
Se 0.000 2.103 3.159



Number 1: magnetic moment 0.0 μB/cell, final energy -7.119 eV for the cell shown, D(E_F) 0.0 states/eV/cell. Number 2: magnetic moment 0.5 μB/cell, final energy -23.339 eV for the cell shown, D(E_F) 4.6 states/eV/cell. Number 3: magnetic moment 0.0 μB/cell, final energy -28.520 eV for the cell shown, D(E_F) 2.7 states/eV/cell. Number 4: magnetic moment 0.0 μB/cell, final energy -28.315 eV for the cell shown, D(E_F) 1.2 states/eV/cell. Number 5: magnetic moment 7.0 μB/cell, final energy -21.472 eV for the cell shown, D(E_F) 3.4 states/eV/cell. Number 6: magnetic moment 0.0 μB/cell, final energy -23.930 eV for the cell shown, D(E_F) 3.4 states/eV/cell.